Record 1
# LiMg14MnO16, PBEsol geometry, DFT meta-GGA SCAN
data_LiMg14MnO16
_space_group_name_H-M_alt 'P 1'
_space_group_IT_number 1
_cell_length_a 4.2035
_cell_length_b 8.4082
_cell_length_c 8.4082
_cell_angle_alpha 90.00
_cell_angle_beta 90.00
_cell_angle_gamma 90.00
loop_
_space_group_symop_operation_xyz
'x,y,z'
loop_
_atom_site_label
_atom_site_fract_x
_atom_site_fract_y
_atom_site_fract_z
_atom_site_occupancy
Mg1 0.5000 0.0000 0.7466 1
Mg2 0.0000 0.0000 0.5000 1
Mg3 0.5000 0.5000 0.2572 1
Mg4 0.5000 0.2534 0.0000 1
Mg5 0.5000 0.2572 0.5000 1
Mg6 0.0000 0.5000 0.0000 1
Mg7 0.5000 0.5000 0.7428 1
Mg8 0.5000 0.7428 0.5000 1
Mg9 0.0000 0.2566 0.7434 1
Mg10 0.0000 0.2566 0.2566 1
Mg11 0.5000 0.0000 0.2534 1
Mg12 0.0000 0.7434 0.2566 1
Mg13 0.5000 0.7466 0.0000 1
Mg14 0.0000 0.7434 0.7434 1
O1 0.5000 0.7520 0.7520 1
O2 0.0000 0.2402 0.5000 1
O3 0.0000 0.7598 0.5000 1
O4 0.0000 0.5000 0.7598 1
O5 0.5000 0.5000 0.5000 1
O6 0.5000 0.0000 0.0000 1
O7 0.5000 0.0000 0.5000 1
O8 0.5000 0.7520 0.2480 1
O9 0.0000 0.7613 0.0000 1
O10 0.5000 0.5000 0.0000 1
O11 0.5000 0.2480 0.7520 1
O12 0.0000 0.2387 0.0000 1
O13 0.0000 0.0000 0.7613 1
O14 0.0000 0.5000 0.2402 1
O15 0.0000 0.0000 0.2387 1
O16 0.5000 0.2480 0.2480 1
Mn1 0.0000 0.0000 0.0000 1
Li1 0.0000 0.5000 0.5000 1
# Symmetry: P4/mmm (123)
# E_form (uncorrected) (meV per atom): -2895
# Energy relative to the lowest polymorph listed for this composition (eV/atom): 0.015

---

Record 2
# CaSc2Co, PBEsol geometry, DFT meta-GGA SCAN
data_CaSc2Co
_space_group_name_H-M_alt 'P 1'
_space_group_IT_number 1
_cell_length_a 4.1942
_cell_length_b 4.0976
_cell_length_c 4.6850
_cell_angle_alpha 90.00
_cell_angle_beta 90.00
_cell_angle_gamma 90.00
loop_
_space_group_symop_operation_xyz
'x,y,z'
loop_
_atom_site_label
_atom_site_fract_x
_atom_site_fract_y
_atom_site_fract_z
_atom_site_occupancy
Sc1 0.0000 0.0000 0.0000 1
Sc2 0.5000 0.0000 0.5000 1
Co1 0.0000 0.5000 0.5000 1
Ca1 0.5000 0.5000 0.0000 1
# Symmetry: Pmmm (47)
# Formation energy from the elements (kJ/mol of atoms): 44.00
# Energy relative to the lowest polymorph listed for this composition (eV/atom): 0.319

---

Record 3
# MnTe2Rh, PBEsol geometry, DFT meta-GGA SCAN
data_MnTe2Rh
_space_group_name_H-M_alt 'P 1'
_space_group_IT_number 1
_cell_length_a 3.9029
_cell_length_b 4.8190
_cell_length_c 4.8098
_cell_angle_alpha 104.78
_cell_angle_beta 90.00
_cell_angle_gamma 90.00
loop_
_space_group_symop_operation_xyz
'x,y,z'
loop_
_atom_site_label
_atom_site_fract_x
_atom_site_fract_y
_atom_site_fract_z
_atom_site_occupancy
Te1 0.0000 0.2739 0.2261 1
Te2 0.0000 0.7261 0.7739 1
Mn1 0.5000 0.0000 0.5000 1
Rh1 0.5000 0.5000 0.0000 1
# Symmetry: Cmmm (65)
# E_form (uncorrected) (meV per atom): -125

---

| no. | E_tot (eV per cell) | total moment (μB per cell) |
| --- | --- | --- |
| 1 | -282.621 | 4.000 |
| 2 | -53.618 | 0.002 |
| 3 | -127.029 | 4.981 |